(1)
Th2Ga3HgPd4, optimized geometry, DFT PBE; space-group type = No. 115; energy relative to the elements = -0.68 eV/atom
1.0
4.140 0.000 0.000
0.000 4.140 0.000
0.000 0.000 11.681
Th Ga Hg Pd
2 3 1 4
direct
0.000 0.500 0.242 Th
0.500 0.000 0.758 Th
0.000 0.500 0.876 Ga
0.500 0.000 0.124 Ga
0.500 0.500 0.500 Ga
0.000 0.000 0.500 Hg
0.000 0.000 0.000 Pd
0.000 0.500 0.662 Pd
0.500 0.000 0.338 Pd
0.500 0.500 0.000 Pd

=====

(2)
PuNiHgPd, optimized geometry, DFT PBE; space-group type = No. 216; energy relative to the elements = -0.15 eV/atom
1.0
0.000 3.361 3.361
3.361 0.000 3.361
3.361 3.361 0.000
Pu Ni Hg Pd
1 1 1 1
direct
0.000 0.000 0.000 Pu
0.750 0.750 0.750 Ni
0.500 0.500 0.500 Hg
0.250 0.250 0.250 Pd

=====

(3)
CdGe2Cl8, optimized geometry, DFT PBE; space-group type = No. 12; formation energy without anion corrections = -0.75 eV per atom
1.0
5.956 -5.076 0.000
5.956 5.076 0.000
-0.998 0.000 6.329
Cd Ge Cl
1 2 8
direct
0.000 0.000 0.000 Cd
0.222 0.222 0.676 Ge
0.778 0.778 0.324 Ge
0.059 0.719 0.219 Cl
0.184 0.184 0.297 Cl
0.281 0.941 0.781 Cl
0.404 0.404 0.868 Cl
0.596 0.596 0.132 Cl
0.719 0.059 0.219 Cl
0.816 0.816 0.703 Cl
0.941 0.281 0.781 Cl

=====

(4)
Pu3ThHg4, optimized geometry, DFT PBE; space-group type = No. 123; energy relative to the elements = -0.14 eV/atom
1.0
3.316 0.000 0.000
0.000 3.316 0.000
0.000 0.000 18.717
Pu Th Hg
3 1 4
direct
0.000 0.000 0.000 Pu
0.000 0.000 0.248 Pu
0.000 0.000 0.752 Pu
0.000 0.000 0.500 Th
0.500 0.500 0.124 Hg
0.500 0.500 0.372 Hg
0.500 0.500 0.628 Hg
0.500 0.500 0.876 Hg

=====

(5)
KWBr2, optimized geometry, DFT PBE; space-group type = No. 160; formation energy without anion corrections = 0.37 eV per atom; energy above the lowest structure with this stoichiometry = 185 meV/atom
1.0
1.674 0.967 10.474
-1.674 0.967 10.474
0.000 -1.933 10.474
K W Br
1 1 2
direct
0.000 0.000 0.000 K
0.766 0.766 0.766 W
0.257 0.257 0.257 Br
0.487 0.487 0.487 Br

=====

(6)
Li2ZnPt, optimized geometry, DFT PBE; space-group type = No. 123; energy relative to the elements = -0.43 eV/atom
1.0
4.214 0.000 0.000
0.000 4.214 0.000
0.000 0.000 3.024
Li Zn Pt
2 1 1
direct
0.000 0.500 0.000 Li
0.500 0.000 0.000 Li
0.000 0.000 0.500 Zn
0.500 0.500 0.500 Pt

=====

| no. | electronic total energy (eV/atom) |
| --- | --- |
| 1 | -5.177 |
| 2 | -6.550 |
| 3 | -3.019 |
| 4 | -6.596 |
| 5 | -3.978 |
| 6 | -3.211 |